(1)
# LiHf3I

A relaxed structure of LiHf3I (PBE, the Alexandria database).

The structure in POSCAR format:
```
LiHf3I
1.0
4.801 0.000 0.000
0.000 4.801 0.000
0.000 0.000 4.801
Li Hf I
1 3 1
Cartesian
0.000 0.000 0.000 Li
0.000 0.000 2.400 Hf
0.000 2.400 0.000 Hf
2.400 0.000 0.000 Hf
2.400 2.400 2.400 I
```

Properties
As for the space group: Pm-3m, No. 221. The calculation puts the uncorrected formation energy at 0.8721 eV/atom. The calculation puts the total energy at -28.96 eV per cell. For the theoretical density, the calculation gives 10.05 g/cm3.

(2)
# MgBiAu

A relaxed structure of MgBiAu (PBE, the Alexandria database).

The structure in POSCAR format:
```
MgBiAu
1.0
3.505 0.000 0.000
0.000 3.676 0.000
1.741 0.013 11.062
Mg Bi Au
2 2 2
Cartesian
0.877 0.920 0.882 Mg
4.369 2.769 10.180 Mg
0.873 0.916 4.063 Bi
4.373 2.774 6.999 Bi
2.615 0.931 9.077 Au
2.631 2.758 1.986 Au
```

Properties
As for the space group: P-1, No. 2. The calculation puts the total energy at -19.04 eV per cell. For the theoretical density, the calculation gives 10.02 g/cm3. The value obtained for the energy of formation is -0.255 eV per atom.

(3)
# CrAg4Se

A relaxed structure of CrAg4Se (PBE, the Alexandria database).

The structure in POSCAR format:
```
CrAg4Se
1.0
0.000 3.889 3.889
3.889 0.000 3.889
3.889 3.889 0.000
Cr Ag Se
1 4 1
Cartesian
0.000 0.000 0.000 Cr
2.913 2.913 2.913 Ag
4.864 4.864 2.913 Ag
4.864 2.913 4.864 Ag
2.913 4.864 4.864 Ag
5.833 5.833 5.833 Se
```

Properties
As for the space group: F-43m, No. 216. The calculation puts the uncorrected formation energy at 0.3249 eV/atom. The calculation puts the total energy at -22.56 eV per cell. For the theoretical density, the calculation gives 7.94 g/cm3.

(4)
# Nd2Si2Tc2C

A relaxed structure of Nd2Si2Tc2C (PBE, the Alexandria database).

The structure in POSCAR format:
```
Nd2Si2Tc2C
1.0
5.610 -2.046 0.000
5.610 2.046 0.000
-4.478 0.000 5.626
Nd Si Tc C
2 2 2 1
Cartesian
-0.577 0.000 1.695 Nd
7.319 0.000 3.930 Nd
2.583 0.000 1.656 Si
4.159 0.000 3.969 Si
-0.740 0.000 5.114 Tc
7.482 0.000 0.511 Tc
5.610 0.000 0.000 C
```

Properties
As for the space group: C2/m, No. 12. The calculation puts the uncorrected formation energy at -0.6258 eV/atom. The calculation puts the total energy at -54.72 eV per cell. For the theoretical density, the calculation gives 7.10 g/cm3.

(5)
# Ac2PrMnSe5

A relaxed structure of Ac2PrMnSe5 (PBE, the Alexandria database).

The structure in POSCAR format:
```
Ac2PrMnSe5
1.0
2.136 -8.993 0.000
2.136 8.993 0.000
0.000 0.000 13.034
Ac Pr Mn Se
4 2 2 10
Cartesian
2.136 6.829 6.517 Ac
2.136 6.779 1.940 Ac
2.136 -6.779 8.457 Ac
2.136 -6.829 0.000 Ac
2.136 5.740 10.822 Pr
2.136 -5.740 4.305 Pr
2.136 0.926 3.047 Mn
2.136 -0.926 9.564 Mn
2.136 8.725 10.715 Se
2.136 3.568 6.424 Se
2.136 3.357 2.164 Se
2.136 2.763 10.736 Se
2.136 0.101 7.315 Se
2.136 -0.101 0.798 Se
2.136 -2.763 4.218 Se
2.136 -3.357 8.681 Se
2.136 -3.568 12.941 Se
2.136 -8.725 4.198 Se
```

Properties
As for the space group: Cmc2_1, No. 36. The calculation puts the uncorrected formation energy at -1.6499 eV/atom. The calculation puts the total energy at -108.88 eV per cell. For the theoretical density, the calculation gives 6.93 g/cm3.

(6)
# V3IrRh3

A relaxed structure of V3IrRh3 (PBE, the Alexandria database).

The structure in POSCAR format:
```
V3IrRh3
1.0
2.707 -4.371 0.000
2.707 4.371 0.000
-0.248 0.000 8.581
V Ir Rh
6 2 6
Cartesian
1.309 2.179 2.224 V
1.127 0.000 0.011 V
3.858 2.179 6.357 V
1.309 -2.179 2.224 V
4.040 0.000 8.570 V
3.858 -2.179 6.357 V
2.417 0.000 6.576 Ir
2.750 0.000 2.005 Ir
0.105 0.000 3.025 Rh
2.707 2.053 0.000 Rh
2.583 1.461 4.290 Rh
2.583 -1.461 4.290 Rh
2.707 -2.053 0.000 Rh
5.062 0.000 5.556 Rh
```

Properties
As for the space group: C2/m, No. 12. The calculation puts the total energy at -119.19 eV per cell. For the theoretical density, the calculation gives 10.69 g/cm3. The value obtained for the energy of formation is -0.189 eV per atom.

(7)
# Mn3ReTc

A relaxed structure of Mn3ReTc (PBE, the Alexandria database).

The structure in POSCAR format:
```
Mn3ReTc
1.0
4.356 0.000 0.000
0.000 4.356 0.000
0.000 0.000 4.356
Mn Re Tc
3 1 1
Cartesian
0.000 0.000 2.178 Mn
0.000 2.178 0.000 Mn
2.178 0.000 0.000 Mn
0.000 0.000 0.000 Re
2.178 2.178 2.178 Tc
```

Properties
As for the space group: Pm-3m, No. 221. The calculation puts the total energy at -40.90 eV per cell. For the theoretical density, the calculation gives 9.02 g/cm3. The value obtained for the energy of formation is 1.884 eV per atom.

(8)
# Ta3NbSe

A relaxed structure of Ta3NbSe (PBE, the Alexandria database).

The structure in POSCAR format:
```
Ta3NbSe
1.0
4.692 0.000 0.000
0.000 4.692 0.000
0.000 0.000 4.692
Ta Nb Se
3 1 1
Cartesian
0.000 0.000 2.346 Ta
0.000 2.346 0.000 Ta
2.346 0.000 0.000 Ta
2.346 2.346 2.346 Nb
0.000 0.000 0.000 Se
```

Properties
As for the space group: Pm-3m, No. 221. The calculation puts the uncorrected formation energy at 0.8763 eV/atom. The calculation puts the total energy at -44.73 eV per cell. For the theoretical density, the calculation gives 11.49 g/cm3.